# LaNd3Dy2 PBE optimized geometry
# * energy: -56.20 eV/cell
# * energy relative to the lowest polymorph listed for this composition: 0.000 eV per atom
data_LaNd3Dy2
_chemical_formula_sum 'La2 Nd6 Dy4'
_cell_length_a 6.778
_cell_length_b 6.778
_cell_length_c 11.540
_cell_angle_alpha 115.10
_cell_angle_beta 115.10
_cell_angle_gamma 63.26
_symmetry_space_group_name_H-M 'P 1'
_symmetry_Int_Tables_number 1
_symmetry_space_group_name_Hall 'P 1'
loop_
_atom_site_label
_atom_site_fract_x
_atom_site_fract_y
_atom_site_fract_z
_atom_site_occupancy
La1 0.005 0.995 0.750 1
La2 0.995 0.005 0.250 1
Nd1 0.084 0.580 0.916 1
Nd2 0.420 0.916 0.584 1
Nd3 0.497 0.503 0.750 1
Nd4 0.503 0.497 0.250 1
Nd5 0.580 0.084 0.416 1
Nd6 0.916 0.420 0.084 1
Dy1 0.084 0.585 0.419 1
Dy2 0.415 0.916 0.081 1
Dy3 0.585 0.084 0.919 1
Dy4 0.916 0.415 0.581 1

# La3Nd2Dy3 PBE optimized geometry
# * energy: -37.40 eV/cell
# * energy relative to the lowest polymorph listed for this composition: 0.066 eV per atom
data_La3Nd2Dy3
_chemical_formula_sum 'La3 Nd2 Dy3'
_cell_length_a 8.783
_cell_length_b 8.783
_cell_length_c 6.120
_cell_angle_alpha 109.95
_cell_angle_beta 109.95
_cell_angle_gamma 39.32
_symmetry_space_group_name_H-M 'P 1'
_symmetry_Int_Tables_number 1
_symmetry_space_group_name_Hall 'P 1'
loop_
_atom_site_label
_atom_site_fract_x
_atom_site_fract_y
_atom_site_fract_z
_atom_site_occupancy
La1 0.000 0.000 0.000 1
La2 0.135 0.135 0.695 1
La3 0.865 0.865 0.305 1
Nd1 0.251 0.251 0.318 1
Nd2 0.749 0.749 0.682 1
Dy1 0.371 0.371 0.918 1
Dy2 0.500 0.500 0.500 1
Dy3 0.629 0.629 0.082 1

# LaNd2Dy PBE optimized geometry
# * energy: -18.99 eV/cell
# * energy relative to the lowest polymorph listed for this composition: 0.003 eV per atom
data_LaNd2Dy
_chemical_formula_sum 'La1 Nd2 Dy1'
_cell_length_a 3.664
_cell_length_b 3.664
_cell_length_c 12.162
_cell_angle_alpha 98.70
_cell_angle_beta 98.70
_cell_angle_gamma 59.96
_symmetry_space_group_name_H-M 'P 1'
_symmetry_Int_Tables_number 1
_symmetry_space_group_name_Hall 'P 1'
loop_
_atom_site_label
_atom_site_fract_x
_atom_site_fract_y
_atom_site_fract_z
_atom_site_occupancy
La1 0.000 0.000 0.000 1
Nd1 0.246 0.246 0.741 1
Nd2 0.417 0.417 0.257 1
Dy1 0.833 0.833 0.499 1

# La3Nd7Dy PBE optimized geometry
# * energy: -50.41 eV/cell
# * energy relative to the lowest polymorph listed for this composition: 0.000 eV per atom
data_La3Nd7Dy
_chemical_formula_sum 'La3 Nd7 Dy1'
_cell_length_a 7.889
_cell_length_b 7.889
_cell_length_c 6.567
_cell_angle_alpha 93.26
_cell_angle_beta 93.26
_cell_angle_gamma 82.03
_symmetry_space_group_name_H-M 'P 1'
_symmetry_Int_Tables_number 1
_symmetry_space_group_name_Hall 'P 1'
loop_
_atom_site_label
_atom_site_fract_x
_atom_site_fract_y
_atom_site_fract_z
_atom_site_occupancy
La1 0.000 0.000 0.000 1
La2 0.174 0.826 0.500 1
La3 0.826 0.174 0.500 1
Nd1 0.088 0.431 0.238 1
Nd2 0.239 0.239 0.714 1
Nd3 0.431 0.088 0.238 1
Nd4 0.500 0.500 0.500 1
Nd5 0.569 0.912 0.762 1
Nd6 0.761 0.761 0.286 1
Nd7 0.912 0.569 0.762 1
Dy1 0.500 0.500 0.000 1

# La2NdDy7 PBE optimized geometry
# * energy: -46.61 eV/cell
# * energy relative to the lowest polymorph listed for this composition: 0.000 eV per atom
data_La2NdDy7
_chemical_formula_sum 'La2 Nd1 Dy7'
_cell_length_a 6.205
_cell_length_b 7.186
_cell_length_c 8.076
_cell_angle_alpha 76.97
_cell_angle_beta 75.03
_cell_angle_gamma 73.83
_symmetry_space_group_name_H-M 'P 1'
_symmetry_Int_Tables_number 1
_symmetry_space_group_name_Hall 'P 1'
loop_
_atom_site_label
_atom_site_fract_x
_atom_site_fract_y
_atom_site_fract_z
_atom_site_occupancy
La1 0.201 0.297 0.100 1
La2 0.799 0.703 0.900 1
Nd1 0.000 0.500 0.500 1
Dy1 0.000 0.000 0.500 1
Dy2 0.199 0.800 0.102 1
Dy3 0.399 0.601 0.698 1
Dy4 0.400 0.100 0.697 1
Dy5 0.600 0.900 0.303 1
Dy6 0.601 0.399 0.302 1
Dy7 0.801 0.200 0.898 1

# LaNd6Dy12 PBE optimized geometry
# * energy: -84.91 eV/cell
data_LaNd6Dy12
_chemical_formula_sum 'La1 Nd6 Dy12'
_cell_length_a 8.784
_cell_length_b 8.784
_cell_length_c 8.784
_cell_angle_alpha 98.80
_cell_angle_beta 98.80
_cell_angle_gamma 98.80
_symmetry_space_group_name_H-M 'P 1'
_symmetry_Int_Tables_number 1
_symmetry_space_group_name_Hall 'P 1'
loop_
_atom_site_label
_atom_site_fract_x
_atom_site_fract_y
_atom_site_fract_z
_atom_site_occupancy
La1 0.000 0.000 0.000 1
Nd1 0.100 0.100 0.654 1
Nd2 0.100 0.654 0.100 1
Nd3 0.346 0.900 0.900 1
Nd4 0.654 0.100 0.100 1
Nd5 0.900 0.346 0.900 1
Nd6 0.900 0.900 0.346 1
Dy1 0.081 0.356 0.356 1
Dy2 0.243 0.500 0.757 1
Dy3 0.243 0.757 0.500 1
Dy4 0.356 0.081 0.356 1
Dy5 0.356 0.356 0.081 1
Dy6 0.500 0.243 0.757 1
Dy7 0.500 0.757 0.243 1
Dy8 0.644 0.644 0.919 1
Dy9 0.644 0.919 0.644 1
Dy10 0.757 0.243 0.500 1
Dy11 0.757 0.500 0.243 1
Dy12 0.919 0.644 0.644 1

| no. | calculated volume (Å³/atom) |
| --- | --- |
| 1 | 34.2 |
| 2 | 34.9 |
| 3 | 34.8 |
| 4 | 36.7 |
| 5 | 32.9 |
| 6 | 34.3 |